Model i:
# TlH

A relaxed TlH crystal (GGA-PBE, Alexandria via LeMat-Bulk).

Cell lengths 9.746, 9.746, 3.506 Å; angles 90.00, 90.00, 120.00 degrees
Sites, in units of the cell vectors:
Tl1 0.024 0.677 0.250
Tl2 0.323 0.347 0.250
Tl3 0.347 0.024 0.750
Tl4 0.653 0.976 0.250
Tl5 0.677 0.653 0.750
Tl6 0.976 0.323 0.750
H1 0.100 0.492 0.250
H2 0.392 0.900 0.250
H3 0.492 0.392 0.750
H4 0.508 0.608 0.250
H5 0.608 0.100 0.750
H6 0.900 0.508 0.750

Summary:
density = 7.1 g/cm3
SG = No. 176

Model ii:
# TlH

A relaxed TlH crystal (GGA-PBE, Alexandria via LeMat-Bulk).

Cell lengths 6.462, 6.462, 3.994 Å; angles 90.00, 90.00, 90.00 degrees
Sites, in units of the cell vectors:
Tl1 0.205 0.205 0.000
Tl2 0.295 0.705 0.500
Tl3 0.705 0.295 0.500
Tl4 0.795 0.795 0.000
H1 0.159 0.841 0.000
H2 0.341 0.341 0.500
H3 0.659 0.659 0.500
H4 0.841 0.159 0.000

Summary:
density = 8.2 g/cm3
SG = No. 136

Least stable = model ii

Model i:
# TlH4

A relaxed TlH4 crystal (GGA-PBE, Alexandria via LeMat-Bulk).

Cell lengths 3.911, 3.911, 3.911 Å; angles 90.00, 90.00, 90.00 degrees
Sites, in units of the cell vectors:
Tl1 0.000 0.000 0.000
H1 0.000 0.000 0.500
H2 0.000 0.500 0.000
H3 0.500 0.000 0.000
H4 0.500 0.500 0.500

Summary:
density = 5.8 g/cm3
SG = No. 221

Model ii:
# TlH4

A relaxed TlH4 crystal (GGA-PBE, Alexandria via LeMat-Bulk).

Cell lengths 3.412, 3.412, 10.724 Å; angles 93.12, 93.12, 124.88 degrees
Sites, in units of the cell vectors:
Tl1 0.000 0.000 0.000
H1 0.180 0.180 0.333
H2 0.213 0.213 0.404
H3 0.787 0.787 0.596
H4 0.820 0.820 0.667

Summary:
density = 3.4 g/cm3
SG = No. 12

Least stable = model i

Model i:
# TmTlH

A relaxed TmTlH crystal (GGA-PBE, Alexandria via LeMat-Bulk).

Cell lengths 3.604, 3.619, 8.906 Å; angles 90.00, 96.38, 90.00 degrees
Sites, in units of the cell vectors:
Tm1 0.215 0.250 0.358
Tm2 0.785 0.750 0.642
Tl1 0.317 0.250 0.867
Tl2 0.683 0.750 0.133
H1 0.246 0.750 0.501
H2 0.754 0.250 0.499

Summary:
density = 10.8 g/cm3
SG = No. 11

Model ii:
# TmTlH

A relaxed TmTlH crystal (GGA-PBE, Alexandria via LeMat-Bulk).

Cell lengths 6.233, 6.233, 6.233 Å; angles 150.26, 150.26, 42.56 degrees
Sites, in units of the cell vectors:
Tm1 0.000 0.000 0.000
Tl1 0.271 0.271 0.000
H1 0.534 0.534 0.000

Summary:
density = 10.5 g/cm3
SG = No. 107

Model iii:
# TmTlH

A relaxed TmTlH crystal (GGA-PBE, Alexandria via LeMat-Bulk).

Cell lengths 6.374, 6.166, 6.560 Å; angles 90.00, 117.67, 90.00 degrees
Sites, in units of the cell vectors:
Tm1 0.153 0.149 0.379
Tm2 0.153 0.351 0.879
Tm3 0.847 0.649 0.121
Tm4 0.847 0.851 0.621
Tl1 0.361 0.665 0.626
Tl2 0.361 0.835 0.126
Tl3 0.639 0.165 0.874
Tl4 0.639 0.335 0.374
H1 0.100 0.086 0.667
H2 0.100 0.414 0.167
H3 0.900 0.586 0.833
H4 0.900 0.914 0.333

Summary:
density = 10.9 g/cm3
SG = No. 14

Model iv:
# TmTlH

A relaxed TmTlH crystal (GGA-PBE, Alexandria via LeMat-Bulk).

Cell lengths 3.570, 3.570, 5.272 Å; angles 90.00, 90.00, 120.00 degrees
Sites, in units of the cell vectors:
Tm1 0.000 0.000 0.000
Tl1 0.333 0.667 0.500
H1 0.667 0.333 0.000

Summary:
density = 10.7 g/cm3
SG = No. 187

Least stable = model ii

Model i:
# TlV2H

A relaxed TlV2H crystal (GGA-PBE, Alexandria via LeMat-Bulk).

Cell lengths 4.374, 4.374, 4.374 Å; angles 60.00, 60.00, 60.00 degrees
Sites, in units of the cell vectors:
Tl1 0.000 0.000 0.000
V1 0.250 0.250 0.250
V2 0.750 0.750 0.750
H1 0.500 0.500 0.500

Summary:
density = 8.6 g/cm3
SG = No. 225

Model ii:
# TlV2H

A relaxed TlV2H crystal (GGA-PBE, Alexandria via LeMat-Bulk).

Cell lengths 5.682, 5.682, 5.682 Å; angles 126.73, 126.73, 78.70 degrees
Sites, in units of the cell vectors:
Tl1 0.375 0.625 0.750
Tl2 0.625 0.375 0.250
V1 0.000 0.000 0.000
V2 0.000 0.000 0.500
V3 0.000 0.500 0.000
V4 0.500 0.000 0.500
H1 0.125 0.875 0.250
H2 0.875 0.125 0.750

Summary:
density = 8.9 g/cm3
SG = No. 141

Least stable = model i

Model i:
# TlHW3

A relaxed TlHW3 crystal (GGA-PBE, Alexandria via LeMat-Bulk).

Cell lengths 5.015, 5.015, 5.015 Å; angles 90.00, 90.00, 90.00 degrees
Sites, in units of the cell vectors:
Tl1 0.000 0.000 0.000
H1 0.500 0.500 0.500
W1 0.000 0.000 0.500
W2 0.000 0.500 0.000
W3 0.500 0.000 0.000

Summary:
density = 10.0 g/cm3
SG = No. 221

Model ii:
# TlHW3

A relaxed TlHW3 crystal (GGA-PBE, Alexandria via LeMat-Bulk).

Cell lengths 4.143, 4.143, 4.143 Å; angles 90.00, 90.00, 90.00 degrees
Sites, in units of the cell vectors:
Tl1 0.000 0.000 0.000
H1 0.500 0.500 0.500
W1 0.000 0.500 0.500
W2 0.500 0.000 0.500
W3 0.500 0.500 0.000

Summary:
density = 17.7 g/cm3
SG = No. 221

Least stable = model i

Model i:
# Y2TlH

A relaxed Y2TlH crystal (GGA-PBE, Alexandria via LeMat-Bulk).

Cell lengths 4.553, 4.553, 8.509 Å; angles 90.00, 90.00, 90.00 degrees
Sites, in units of the cell vectors:
Y1 0.250 0.250 0.151
Y2 0.250 0.750 0.500
Y3 0.750 0.250 0.500
Y4 0.750 0.750 0.849
Tl1 0.250 0.250 0.781
Tl2 0.750 0.750 0.219
H1 0.250 0.250 0.418
H2 0.750 0.750 0.582

Summary:
density = 7.2 g/cm3
SG = No. 129

Model ii:
# Y2TlH

A relaxed Y2TlH crystal (GGA-PBE, Alexandria via LeMat-Bulk).

Cell lengths 6.277, 6.277, 6.764 Å; angles 113.35, 113.35, 46.89 degrees
Sites, in units of the cell vectors:
Y1 0.051 0.051 0.280
Y2 0.327 0.327 0.935
Y3 0.673 0.673 0.065
Y4 0.949 0.949 0.720
Tl1 0.357 0.357 0.421
Tl2 0.643 0.643 0.579
H1 0.134 0.134 0.015
H2 0.866 0.866 0.985

Summary:
density = 7.3 g/cm3
SG = No. 12

Least stable = model ii

Model i:
# Y2TlH

A relaxed Y2TlH crystal (GGA-PBE, Alexandria via LeMat-Bulk).

Cell lengths 5.118, 5.118, 5.118 Å; angles 60.00, 60.00, 60.00 degrees
Sites, in units of the cell vectors:
Y1 0.250 0.250 0.250
Y2 0.750 0.750 0.750
Tl1 0.000 0.000 0.000
H1 0.500 0.500 0.500

Summary:
density = 6.7 g/cm3
SG = No. 225

Model ii:
# Y2TlH

A relaxed Y2TlH crystal (GGA-PBE, Alexandria via LeMat-Bulk).

Cell lengths 8.090, 8.090, 8.090 Å; angles 25.89, 25.89, 25.89 degrees
Sites, in units of the cell vectors:
Y1 0.225 0.225 0.225
Y2 0.775 0.775 0.775
Tl1 0.000 0.000 0.000
H1 0.500 0.500 0.500

Summary:
density = 7.2 g/cm3
SG = No. 166

Model iii:
# Y2TlH

A relaxed Y2TlH crystal (GGA-PBE, Alexandria via LeMat-Bulk).

Cell lengths 6.191, 6.191, 6.191 Å; angles 111.67, 111.67, 105.16 degrees
Sites, in units of the cell vectors:
Y1 0.026 0.625 0.901
Y2 0.375 0.276 0.401
Y3 0.724 0.125 0.099
Y4 0.875 0.974 0.599
Tl1 0.250 0.750 0.500
Tl2 0.500 0.500 0.000
H1 0.000 0.000 0.000
H2 0.750 0.250 0.500

Summary:
density = 7.0 g/cm3
SG = No. 122

Least stable = model i

Model i:
# YTl2H

A relaxed YTl2H crystal (GGA-PBE, Alexandria via LeMat-Bulk).

Cell lengths 5.122, 5.122, 5.122 Å; angles 60.00, 60.00, 60.00 degrees
Sites, in units of the cell vectors:
Y1 0.000 0.000 0.000
Tl1 0.250 0.250 0.250
Tl2 0.750 0.750 0.750
H1 0.500 0.500 0.500

Summary:
density = 8.7 g/cm3
SG = No. 225

Model ii:
# YTl2H

A relaxed YTl2H crystal (GGA-PBE, Alexandria via LeMat-Bulk).

Cell lengths 6.308, 6.308, 6.308 Å; angles 113.96, 113.96, 100.83 degrees
Sites, in units of the cell vectors:
Y1 0.000 0.000 0.000
Y2 0.750 0.250 0.500
Tl1 0.234 0.625 0.109
Tl2 0.375 0.484 0.609
Tl3 0.516 0.125 0.891
Tl4 0.875 0.766 0.391
H1 0.250 0.750 0.500
H2 0.500 0.500 0.000

Summary:
density = 8.7 g/cm3
SG = No. 122

Least stable = model i